Entry 1:
The following is a PBE calculation of crystalline TlCu2Tc at its relaxed geometry, from Alexandria via LeMat-Bulk.

Computed properties:
Crystal system   tetragonal
E   -18.9 eV for the cell shown
E above lowest polymorph   47 meV/atom
Space group   P4/mmm (123)
DFT formation energy   0.49 eV per atom
N(E_F)   2.43 states/eV/f.u.

a = 2.7932 Å, b = 2.7932 Å, c = 8.4497 Å
α = 90.00°, β = 90.00°, γ = 89.95°
Fractional positions:
Cu1 0.0000 0.0000 0.0387
Cu2 0.0000 0.0000 0.4613
Tc1 0.5000 0.5000 0.2500
Tl1 0.5000 0.5000 0.7500



Entry 2:
The following is a PBE calculation of crystalline Tl2CuTc at its relaxed geometry, from Alexandria via LeMat-Bulk.

Computed properties:
Crystal system   tetragonal
E   -16.3 eV for the cell shown
E above lowest polymorph   164 meV/atom
Space group   I4/mmm (139)
DFT formation energy   0.72 eV per atom
N(E_F)   3.84 states/eV/f.u.

a = 5.1546 Å, b = 5.1546 Å, c = 5.1546 Å
α = 131.37°, β = 131.48°, γ = 71.14°
Fractional positions:
Tl1 0.4999 0.4999 0.0000
Tl2 0.0001 0.0001 0.0000
Cu1 0.7500 0.2500 0.5000
Tc1 0.2500 0.7500 0.5000



Entry 3:
The following is a PBE calculation of crystalline TlCu2Tc at its relaxed geometry, from Alexandria via LeMat-Bulk.

Computed properties:
Crystal system   orthorhombic
E   -18.7 eV for the cell shown
E above lowest polymorph   121 meV/atom
Space group   Immm (71)
DFT formation energy   0.57 eV per atom
N(E_F)   3.79 states/eV/f.u.

a = 5.4419 Å, b = 5.4419 Å, c = 5.4419 Å
α = 148.91°, β = 128.84°, γ = 61.08°
Fractional positions:
Tc1 0.7500 0.2500 0.5000
Cu1 0.9872 0.9872 0.0000
Cu2 0.5128 0.5128 0.0000
Tl1 0.2500 0.7500 0.5000



Entry 4:
The following is a PBE calculation of crystalline TlCuTc at its relaxed geometry, from Alexandria via LeMat-Bulk.

Computed properties:
Crystal system   cubic
E   -14.3 eV for the cell shown
E above lowest polymorph   186 meV/atom
Space group   F-43m (216)
DFT formation energy   0.85 eV per atom
N(E_F)   2.79 states/eV/f.u.

a = 4.3062 Å, b = 4.3062 Å, c = 4.3062 Å
α = 60.00°, β = 60.00°, γ = 60.00°
Fractional positions:
Tl1 0.5000 0.5000 0.5000
Cu1 0.7500 0.7500 0.7500
Tc1 0.0000 0.0000 0.0000



Entry 5:
The following is a PBE calculation of crystalline TlCuTc at its relaxed geometry, from Alexandria via LeMat-Bulk.

Computed properties:
Crystal system   trigonal
E   -14.7 eV for the cell shown
E above lowest polymorph   45 meV/atom
Space group   P3m1 (156)
DFT formation energy   0.71 eV per atom
N(E_F)   2.91 states/eV/f.u.

a = 4.5139 Å, b = 4.5139 Å, c = 2.8401 Å
α = 90.00°, β = 90.00°, γ = 120.00°
Fractional positions:
Tc1 0.3333 0.6667 0.3322
Tl1 0.6667 0.3333 0.8308
Cu1 0.0000 0.0000 0.8370



Entry 6:
The following is a PBE calculation of crystalline Tl2CuTc at its relaxed geometry, from Alexandria via LeMat-Bulk.

Computed properties:
Crystal system   orthorhombic
E   -16.6 eV for the cell shown
E above lowest polymorph   100 meV/atom
Space group   Pmmm (47)
DFT formation energy   0.66 eV per atom
N(E_F)   3.51 states/eV/f.u.

a = 3.4516 Å, b = 3.4704 Å, c = 7.1351 Å
α = 60.91°, β = 90.00°, γ = 90.00°
Fractional positions:
Cu1 0.5000 0.2500 0.2500
Tl1 0.0000 0.0000 0.0000
Tl2 0.0000 0.5000 0.5000
Tc1 0.5000 0.7500 0.7500



Entry 7:
The following is a PBE calculation of crystalline Tl2CuTc at its relaxed geometry, from Alexandria via LeMat-Bulk.

Computed properties:
Crystal system   monoclinic
E   -17.0 eV for the cell shown
E above lowest polymorph   0 meV/atom
Space group   Pm (6)
DFT formation energy   0.56 eV per atom
N(E_F)   3.14 states/eV/f.u.

a = 4.1610 Å, b = 3.6699 Å, c = 5.5261 Å
α = 70.53°, β = 90.00°, γ = 90.00°
Fractional positions:
Tc1 0.5000 0.5509 0.7728
Tl1 0.5000 0.2753 0.3268
Tl2 0.0000 0.9807 0.9125
Cu1 0.0000 0.6931 0.4878



Entry 8:
The following is a PBE calculation of crystalline Tl2CuTc at its relaxed geometry, from Alexandria via LeMat-Bulk.

Computed properties:
Crystal system   monoclinic
E   -16.3 eV for the cell shown
E above lowest polymorph   168 meV/atom
Space group   C2/m (12)
DFT formation energy   0.72 eV per atom
N(E_F)   2.68 states/eV/f.u.

a = 4.8045 Å, b = 4.8045 Å, c = 5.7548 Å
α = 79.40°, β = 79.40°, γ = 36.26°
Fractional positions:
Tc1 0.2500 0.2500 0.2500
Cu1 0.7500 0.7500 0.7500
Tl1 0.4973 0.4973 0.5015
Tl2 0.0027 0.0027 0.9985



Entry 9:
The following is a PBE calculation of crystalline TlCuTc2 at its relaxed geometry, from Alexandria via LeMat-Bulk.

Computed properties:
Crystal system   orthorhombic
E   -24.3 eV for the cell shown
E above lowest polymorph   401 meV/atom
Space group   Cmmm (65)
DFT formation energy   0.73 eV per atom
N(E_F)   5.30 states/eV/f.u.

a = 4.9949 Å, b = 4.9949 Å, c = 2.9089 Å
α = 90.00°, β = 90.00°, γ = 116.97°
Fractional positions:
Tc1 0.5000 0.5000 0.0000
Tc2 0.0000 0.0000 0.0000
Cu1 0.0000 0.5000 0.5000
Tl1 0.5000 0.0000 0.5000



Entry 10:
The following is a PBE calculation of crystalline TlCu2Tc at its relaxed geometry, from Alexandria via LeMat-Bulk.

Computed properties:
Crystal system   tetragonal
E   -19.1 eV for the cell shown
E above lowest polymorph   0 meV/atom
Space group   P4/mmm (123)
DFT formation energy   0.45 eV per atom
N(E_F)   1.97 states/eV/f.u.

a = 3.9921 Å, b = 3.9915 Å, c = 3.8581 Å
α = 90.00°, β = 90.00°, γ = 90.00°
Fractional positions:
Cu1 0.5000 0.5000 0.0000
Cu2 0.0000 0.0000 0.0000
Tc1 0.5000 0.0000 0.5000
Tl1 0.0000 0.5000 0.5000



Entry 11:
The following is a PBE calculation of crystalline Tl2CuTc at its relaxed geometry, from Alexandria via LeMat-Bulk.

Computed properties:
Crystal system   orthorhombic
E   -16.4 eV for the cell shown
E above lowest polymorph   136 meV/atom
Space group   Cmmm (65)
DFT formation energy   0.69 eV per atom
N(E_F)   1.99 states/eV/f.u.

a = 3.1471 Å, b = 3.1471 Å, c = 9.1395 Å
α = 90.00°, β = 90.00°, γ = 119.50°
Fractional positions:
Tl1 0.0000 0.0000 0.0052
Tl2 0.0000 0.0000 0.4948
Cu1 0.5000 0.5000 0.2500
Tc1 0.5000 0.5000 0.7500



Entry 12:
The following is a PBE calculation of crystalline TlCu2Tc at its relaxed geometry, from Alexandria via LeMat-Bulk.

Computed properties:
Crystal system   tetragonal
E   -18.6 eV for the cell shown
E above lowest polymorph   126 meV/atom
Space group   I4/mmm (139)
DFT formation energy   0.57 eV per atom
N(E_F)   3.60 states/eV/f.u.

a = 4.7377 Å, b = 4.7377 Å, c = 4.7377 Å
α = 128.99°, β = 128.99°, γ = 75.02°
Fractional positions:
Cu1 0.0000 0.0000 0.0000
Cu2 0.5000 0.5000 0.0000
Tc1 0.7500 0.2500 0.5000
Tl1 0.2500 0.7500 0.5000



Entry 13:
The following is a PBE calculation of crystalline Tl2CuTc at its relaxed geometry, from Alexandria via LeMat-Bulk.

Computed properties:
Crystal system   monoclinic
E   -16.9 eV for the cell shown
E above lowest polymorph   18 meV/atom
Space group   Cm (8)
DFT formation energy   0.57 eV per atom
N(E_F)   2.87 states/eV/f.u.

a = 5.6212 Å, b = 5.6212 Å, c = 4.8554 Å
α = 71.91°, β = 71.91°, γ = 32.24°
Fractional positions:
Cu1 0.5337 0.5337 0.5280
Tc1 0.2287 0.2287 0.2060
Tl1 0.7589 0.7589 0.6942
Tl2 0.9787 0.9787 0.0718



Entry 14:
The following is a PBE calculation of crystalline TlCu2Tc at its relaxed geometry, from Alexandria via LeMat-Bulk.

Computed properties:
Crystal system   tetragonal
E   -18.7 eV for the cell shown
E above lowest polymorph   119 meV/atom
Space group   I-4m2 (119)
DFT formation energy   0.57 eV per atom
N(E_F)   2.56 states/eV/f.u.

a = 4.9035 Å, b = 4.9035 Å, c = 4.9035 Å
α = 132.94°, β = 132.94°, γ = 68.74°
Fractional positions:
Cu1 0.0000 0.0000 0.0000
Cu2 0.2500 0.7500 0.5000
Tc1 0.5000 0.5000 0.0000
Tl1 0.7500 0.2500 0.5000



Entry 15:
The following is a PBE calculation of crystalline TlCu2Tc at its relaxed geometry, from Alexandria via LeMat-Bulk.

Computed properties:
Crystal system   monoclinic
E   -19.0 eV for the cell shown
E above lowest polymorph   46 meV/atom
Space group   Cm (8)
DFT formation energy   0.49 eV per atom
N(E_F)   1.57 states/eV/f.u.

a = 5.2702 Å, b = 5.2702 Å, c = 4.8269 Å
α = 64.31°, β = 64.31°, γ = 31.15°
Fractional positions:
Tc1 0.4884 0.4884 0.5807
Cu1 0.0131 0.0131 0.0564
Cu2 0.7428 0.7428 0.6813
Tl1 0.2557 0.2557 0.1816



Number 1: calculated volume 16.48 A^3/atom. Number 2: calculated volume 18.85 A^3/atom. Number 3: calculated volume 16.06 A^3/atom. Number 4: calculated volume 18.82 A^3/atom. Number 5: calculated volume 16.70 A^3/atom. Number 6: calculated volume 18.67 A^3/atom. Number 7: calculated volume 19.89 A^3/atom. Number 8: calculated volume 19.27 A^3/atom. Number 9: calculated volume 16.17 A^3/atom. Number 10: calculated volume 15.37 A^3/atom. Number 11: calculated volume 19.70 A^3/atom. Number 12: calculated volume 15.64 A^3/atom. Number 13: calculated volume 19.36 A^3/atom. Number 14: calculated volume 15.51 A^3/atom. Number 15: calculated volume 15.48 A^3/atom.